The following is a DFT calculation (SCAN) of a crystal of SrCd2Ni relaxed with PBEsol.

The structure in POSCAR format:
```
SrCd2Ni
1.0
-1.5749 -1.9926 3.7844
1.2409 -4.2701 1.0126
4.0871 -0.2188 4.3302
Cd Ni Sr
2 1 1
direct
0.9547 0.9545 0.1361 Cd
0.2251 0.2254 0.3244 Cd
0.5657 0.5664 0.3022 Ni
0.7545 0.7537 0.7373 Sr
```

Output
* raw total energy: -24.94 eV/atom
* SG: R3m (160)
* magnetization: 0.00 μB per cell

=====

The following is a DFT calculation (SCAN) of a crystal of TaCdNi2 relaxed with PBEsol.

The structure in POSCAR format:
```
TaCdNi2
1.0
-0.0180 -0.0674 -2.8080
2.7745 -0.4380 -0.0072
-1.1212 -7.1048 0.1778
Cd Ni Ta
1 2 1
direct
0.5000 0.5000 0.5000 Cd
0.0000 0.0000 0.7594 Ni
0.0000 0.0000 0.2406 Ni
0.5000 0.5000 0.0000 Ta
```

Output
* raw total energy: -32.40 eV/atom
* SG: P4/mmm (123)
* magnetization: 0.00 μB per cell

=====

The following is a DFT calculation (SCAN) of a crystal of TaCdNi2 relaxed with PBEsol.

The structure in POSCAR format:
```
TaCdNi2
1.0
3.7556 0.0000 0.0000
0.0000 3.7556 0.0000
-1.8778 -1.8778 4.0119
Cd Ni Ta
1 2 1
direct
0.2500 0.7500 0.5000 Cd
0.0000 0.0000 0.0000 Ni
0.7500 0.2500 0.5000 Ni
0.5000 0.5000 0.0000 Ta
```

Output
* raw total energy: -32.16 eV/atom
* SG: I-4m2 (119)
* magnetization: 0.00 μB per cell